(A)
# PBE PmDy2Ir, optimized geometry
data_PmDy2Ir
_space_group_name_H-M_alt 'P 1'
_space_group_IT_number 1
_space_group_name_Hall 'P 1'
_cell_length_a 3.4912
_cell_length_b 3.4912
_cell_length_c 8.8947
_cell_angle_alpha 90.00
_cell_angle_beta 90.00
_cell_angle_gamma 90.00
loop_
_atom_site_label
_atom_site_fract_x
_atom_site_fract_y
_atom_site_fract_z
Dy1 0.0000 0.0000 0.1829
Ir1 0.5000 0.5000 0.0000
Pm1 0.5000 0.5000 0.5000
Dy2 0.0000 0.0000 0.8171
# * DOS at the Fermi energy: 5.06 states/eV/cell
# * ρ: 10.14 g cm⁻³



(B)
# PBE PmDy2Ir, optimized geometry
data_PmDy2Ir
_space_group_name_H-M_alt 'P 1'
_space_group_IT_number 1
_space_group_name_Hall 'P 1'
_cell_length_a 6.4500
_cell_length_b 7.2814
_cell_length_c 9.3914
_cell_angle_alpha 90.00
_cell_angle_beta 90.00
_cell_angle_gamma 90.00
loop_
_atom_site_label
_atom_site_fract_x
_atom_site_fract_y
_atom_site_fract_z
Dy1 0.6702 0.8245 0.9357
Dy2 0.1702 0.6755 0.4357
Ir1 0.9383 0.6177 0.7500
Dy3 0.8298 0.3245 0.9357
Dy4 0.3298 0.1755 0.0643
Ir2 0.5617 0.1177 0.7500
Dy5 0.6702 0.8245 0.5643
Pm1 0.8659 0.0342 0.2500
Ir3 0.4383 0.8823 0.2500
Pm2 0.1341 0.9658 0.7500
Dy6 0.1702 0.6755 0.0643
Ir4 0.0617 0.3823 0.2500
Dy7 0.3298 0.1755 0.4357
Dy8 0.8298 0.3245 0.5643
Pm3 0.3659 0.4658 0.7500
Pm4 0.6341 0.5342 0.2500
# * DOS at the Fermi energy: 17.93 states/eV/cell
# * ρ: 9.97 g cm⁻³



Most stable: (B)



(A)
# PBE PmDy3Ir3, optimized geometry
data_PmDy3Ir3
_space_group_name_H-M_alt 'P 1'
_space_group_IT_number 1
_space_group_name_Hall 'P 1'
_cell_length_a 5.9842
_cell_length_b 5.8911
_cell_length_c 5.9842
_cell_angle_alpha 109.16
_cell_angle_beta 109.78
_cell_angle_gamma 109.16
loop_
_atom_site_label
_atom_site_fract_x
_atom_site_fract_y
_atom_site_fract_z
Dy1 0.4996 0.0035 0.0000
Ir1 0.0000 0.5037 0.5002
Dy2 0.0000 0.0035 0.4996
Dy3 0.5004 0.5039 0.5004
Pm1 0.0000 0.5031 0.0000
Ir2 0.4998 0.0035 0.4998
Ir3 0.5002 0.5037 0.0000
# * DOS at the Fermi energy: 5.75 states/eV/cell
# * ρ: 12.32 g cm⁻³



(B)
# PBE PmDy3Ir3, optimized geometry
data_PmDy3Ir3
_space_group_name_H-M_alt 'P 1'
_space_group_IT_number 1
_space_group_name_Hall 'P 1'
_cell_length_a 7.0304
_cell_length_b 7.0304
_cell_length_c 6.6417
_cell_angle_alpha 90.01
_cell_angle_beta 90.01
_cell_angle_gamma 91.72
loop_
_atom_site_label
_atom_site_fract_x
_atom_site_fract_y
_atom_site_fract_z
Dy1 0.7556 0.7556 0.4997
Dy2 0.7688 0.2312 0.0000
Pm1 0.7374 0.7374 0.9997
Dy3 0.2444 0.2444 0.5003
Pm2 0.2626 0.2626 0.0003
Dy4 0.2440 0.7560 0.5000
Dy5 0.7560 0.2440 0.5000
Ir1 0.5000 0.0000 0.7466
Ir2 0.5000 0.0000 0.2534
Ir3 0.0001 0.0001 0.2536
Ir4 0.0000 0.5000 0.7466
Dy6 0.2312 0.7688 0.0000
Ir5 0.0000 0.5000 0.2534
Ir6 0.9999 0.9999 0.7464
# * DOS at the Fermi energy: 6.96 states/eV/cell
# * ρ: 12.24 g cm⁻³



Most stable: (A)



(A)
# PBE Pm2DyIr2, optimized geometry
data_Pm2DyIr2
_space_group_name_H-M_alt 'P 1'
_space_group_IT_number 1
_space_group_name_Hall 'P 1'
_cell_length_a 4.8818
_cell_length_b 4.9218
_cell_length_c 10.4366
_cell_angle_alpha 89.95
_cell_angle_beta 90.00
_cell_angle_gamma 90.00
loop_
_atom_site_label
_atom_site_fract_x
_atom_site_fract_y
_atom_site_fract_z
Dy1 0.2500 0.7506 0.8404
Ir1 0.2500 0.2496 0.3372
Pm1 0.7500 0.2505 0.8309
Pm2 0.2500 0.7499 0.5032
Pm3 0.2500 0.7495 0.1691
Ir2 0.7500 0.7504 0.6628
Ir3 0.2500 0.2501 0.9931
Ir4 0.7500 0.7499 0.0069
Pm4 0.7500 0.2501 0.4968
Dy2 0.7500 0.2494 0.1596
# * DOS at the Fermi energy: 5.82 states/eV/cell
# * ρ: 11.08 g cm⁻³



(B)
# PBE Pm2DyIr2, optimized geometry
data_Pm2DyIr2
_space_group_name_H-M_alt 'P 1'
_space_group_IT_number 1
_space_group_name_Hall 'P 1'
_cell_length_a 6.2566
_cell_length_b 7.8532
_cell_length_c 7.3394
_cell_angle_alpha 122.34
_cell_angle_beta 115.23
_cell_angle_gamma 90.00
loop_
_atom_site_label
_atom_site_fract_x
_atom_site_fract_y
_atom_site_fract_z
Pm1 0.3404 0.9744 0.6807
Ir1 0.5962 0.3303 0.1924
Dy1 0.7500 0.5000 0.0000
Ir2 0.0962 0.8621 0.1924
Pm2 0.6596 0.0256 0.3193
Ir3 0.9038 0.1379 0.8076
Pm3 0.8404 0.7063 0.6807
Pm4 0.1596 0.2937 0.3193
Ir4 0.4038 0.6697 0.8076
Dy2 0.2500 0.5000 0.0000
# * DOS at the Fermi energy: 7.23 states/eV/cell
# * ρ: 10.57 g cm⁻³



Most stable: (A)



(A)
# PBE Pm3DyIr, optimized geometry
data_Pm3DyIr
_space_group_name_H-M_alt 'P 1'
_space_group_IT_number 1
_space_group_name_Hall 'P 1'
_cell_length_a 7.4389
_cell_length_b 7.4389
_cell_length_c 7.4389
_cell_angle_alpha 107.21
_cell_angle_beta 112.47
_cell_angle_gamma 108.78
loop_
_atom_site_label
_atom_site_fract_x
_atom_site_fract_y
_atom_site_fract_z
Dy1 0.6288 0.3323 0.7965
Pm1 0.4909 0.3361 0.2624
Pm2 0.9364 0.2286 0.2078
Ir1 0.1462 0.5327 0.1134
Ir2 0.4193 0.0327 0.8866
Pm3 0.0209 0.7286 0.7922
Pm4 0.0737 0.2285 0.7376
Pm5 0.0737 0.8361 0.3452
Pm6 0.4909 0.7285 0.6548
Dy2 0.5357 0.8323 0.2035
# * DOS at the Fermi energy: 12.14 states/eV/cell
# * ρ: 8.30 g cm⁻³



(B)
# PBE Pm3DyIr, optimized geometry
data_Pm3DyIr
_space_group_name_H-M_alt 'P 1'
_space_group_IT_number 1
_space_group_name_Hall 'P 1'
_cell_length_a 5.5702
_cell_length_b 5.5702
_cell_length_c 5.5702
_cell_angle_alpha 90.00
_cell_angle_beta 90.00
_cell_angle_gamma 90.00
loop_
_atom_site_label
_atom_site_fract_x
_atom_site_fract_y
_atom_site_fract_z
Ir1 0.0000 0.0000 0.0000
Pm1 0.5000 0.0000 0.0000
Pm2 0.0000 0.5000 0.0000
Dy1 0.5000 0.5000 0.5000
Pm3 0.0000 0.0000 0.5000
# * DOS at the Fermi energy: 8.81 states/eV/cell
# * ρ: 7.59 g cm⁻³



Most stable: (A)



(A)
# PBE PmDy3Ir, optimized geometry
data_PmDy3Ir
_space_group_name_H-M_alt 'P 1'
_space_group_IT_number 1
_space_group_name_Hall 'P 1'
_cell_length_a 5.4461
_cell_length_b 5.4461
_cell_length_c 5.4461
_cell_angle_alpha 90.00
_cell_angle_beta 90.00
_cell_angle_gamma 90.00
loop_
_atom_site_label
_atom_site_fract_x
_atom_site_fract_y
_atom_site_fract_z
Dy1 0.0000 0.5000 0.0000
Ir1 0.0000 0.0000 0.0000
Pm1 0.5000 0.5000 0.5000
Dy2 0.5000 0.0000 0.0000
Dy3 0.0000 0.0000 0.5000
# * DOS at the Fermi energy: 7.74 states/eV/cell
# * ρ: 8.48 g cm⁻³



(B)
# PBE PmDy3Ir, optimized geometry
data_PmDy3Ir
_space_group_name_H-M_alt 'P 1'
_space_group_IT_number 1
_space_group_name_Hall 'P 1'
_cell_length_a 6.2273
_cell_length_b 6.5633
_cell_length_c 7.6453
_cell_angle_alpha 90.01
_cell_angle_beta 90.00
_cell_angle_gamma 90.00
loop_
_atom_site_label
_atom_site_fract_x
_atom_site_fract_y
_atom_site_fract_z
Dy1 0.9264 0.4942 0.9496
Pm1 0.9302 0.0286 0.2007
Dy2 0.4205 0.3302 0.2009
Pm2 0.4302 0.3242 0.7009
Ir1 0.6747 0.6714 0.2008
Dy3 0.4264 0.8586 0.9520
Dy4 0.9263 0.4942 0.4520
Dy5 0.4263 0.8586 0.4495
Ir2 0.1747 0.6814 0.7008
Dy6 0.9206 0.0226 0.7007
# * DOS at the Fermi energy: 11.74 states/eV/cell
# * ρ: 8.77 g cm⁻³



Most stable: (B)



(A)
# PBE PmDySiIr, optimized geometry
data_PmDySiIr
_space_group_name_H-M_alt 'P 1'
_space_group_IT_number 1
_space_group_name_Hall 'P 1'
_cell_length_a 4.2325
_cell_length_b 3.9998
_cell_length_c 5.7872
_cell_angle_alpha 90.00
_cell_angle_beta 111.45
_cell_angle_gamma 90.00
loop_
_atom_site_label
_atom_site_fract_x
_atom_site_fract_y
_atom_site_fract_z
Si1 0.5640 0.5000 0.1280
Ir1 0.4255 0.0000 0.8511
Pm1 0.1465 0.0000 0.2930
Dy1 0.8640 0.5000 0.7279
# * DOS at the Fermi energy: 2.45 states/eV/cell
# * ρ: 9.61 g cm⁻³



(B)
# PBE PmDySiIr, optimized geometry
data_PmDySiIr
_space_group_name_H-M_alt 'P 1'
_space_group_IT_number 1
_space_group_name_Hall 'P 1'
_cell_length_a 4.9953
_cell_length_b 4.9953
_cell_length_c 4.9953
_cell_angle_alpha 60.00
_cell_angle_beta 60.00
_cell_angle_gamma 60.00
loop_
_atom_site_label
_atom_site_fract_x
_atom_site_fract_y
_atom_site_fract_z
Pm1 0.5000 0.5000 0.5000
Ir1 0.2500 0.2500 0.2500
Si1 0.7500 0.7500 0.7500
Dy1 0.0000 0.0000 0.0000
# * DOS at the Fermi energy: 2.73 states/eV/cell
# * ρ: 9.94 g cm⁻³



Most stable: (A)



(A)
# PBE PrDy3Ir, optimized geometry
data_PrDy3Ir
_space_group_name_H-M_alt 'P 1'
_space_group_IT_number 1
_space_group_name_Hall 'P 1'
_cell_length_a 7.4486
_cell_length_b 7.9707
_cell_length_c 10.1451
_cell_angle_alpha 106.73
_cell_angle_beta 90.00
_cell_angle_gamma 90.00
loop_
_atom_site_label
_atom_site_fract_x
_atom_site_fract_y
_atom_site_fract_z
Dy1 0.7052 0.4259 0.9701
Dy2 0.2052 0.5741 0.5299
Dy3 0.7948 0.4259 0.4701
Pr1 0.5431 0.6863 0.7547
Dy4 0.9910 0.2084 0.1185
Ir1 0.7555 0.0587 0.8948
Dy5 0.2948 0.5741 0.0299
Ir2 0.2445 0.9413 0.1052
Dy6 0.5090 0.2084 0.6185
Dy7 0.4910 0.7916 0.3815
Dy8 0.1267 0.0885 0.3946
Dy9 0.8733 0.9115 0.6054
Dy10 0.3733 0.0885 0.8946
Dy11 0.0090 0.7916 0.8815
Dy12 0.6267 0.9115 0.1054
Pr2 0.4569 0.3137 0.2453
Ir3 0.2555 0.9413 0.6052
Ir4 0.7445 0.0587 0.3948
Pr3 0.9569 0.6863 0.2547
Pr4 0.0431 0.3137 0.7453
# * DOS at the Fermi energy: 21.87 states/eV/cell
# * ρ: 9.45 g cm⁻³



(B)
# PBE PrDy3Ir, optimized geometry
data_PrDy3Ir
_space_group_name_H-M_alt 'P 1'
_space_group_IT_number 1
_space_group_name_Hall 'P 1'
_cell_length_a 5.4574
_cell_length_b 5.4574
_cell_length_c 5.4574
_cell_angle_alpha 90.00
_cell_angle_beta 90.00
_cell_angle_gamma 90.00
loop_
_atom_site_label
_atom_site_fract_x
_atom_site_fract_y
_atom_site_fract_z
Pr1 0.5000 0.5000 0.5000
Dy1 0.5000 0.0000 0.0000
Dy2 0.0000 0.5000 0.0000
Dy3 0.0000 0.0000 0.5000
Ir1 0.0000 0.0000 0.0000
# * DOS at the Fermi energy: 7.71 states/eV/cell
# * ρ: 8.38 g cm⁻³



Most stable: (A)



(A)
# PBE Pr2DyIr, optimized geometry
data_Pr2DyIr
_space_group_name_H-M_alt 'P 1'
_space_group_IT_number 1
_space_group_name_Hall 'P 1'
_cell_length_a 3.8395
_cell_length_b 3.8395
_cell_length_c 10.9692
_cell_angle_alpha 79.92
_cell_angle_beta 79.92
_cell_angle_gamma 60.00
loop_
_atom_site_label
_atom_site_fract_x
_atom_site_fract_y
_atom_site_fract_z
Pr1 0.8885 0.8885 0.3344
Pr2 0.1115 0.1115 0.6656
Ir1 0.5000 0.5000 0.5000
Dy1 0.0000 0.0000 0.0000
# * DOS at the Fermi energy: 5.90 states/eV/cell
# * ρ: 7.71 g cm⁻³



(B)
# PBE Pr2DyIr, optimized geometry
data_Pr2DyIr
_space_group_name_H-M_alt 'P 1'
_space_group_IT_number 1
_space_group_name_Hall 'P 1'
_cell_length_a 6.4726
_cell_length_b 7.3425
_cell_length_c 9.9430
_cell_angle_alpha 90.00
_cell_angle_beta 90.00
_cell_angle_gamma 90.00
loop_
_atom_site_label
_atom_site_fract_x
_atom_site_fract_y
_atom_site_fract_z
Dy1 0.3487 0.4613 0.7500
Ir1 0.5450 0.1212 0.7500
Pr1 0.8265 0.3215 0.5660
Pr2 0.3265 0.1785 0.4340
Ir2 0.9550 0.6212 0.7500
Pr3 0.6735 0.8215 0.9340
Dy2 0.6513 0.5387 0.2500
Ir3 0.4550 0.8788 0.2500
Dy3 0.8487 0.0387 0.2500
Ir4 0.0450 0.3788 0.2500
Pr4 0.3265 0.1785 0.0660
Pr5 0.8265 0.3215 0.9340
Dy4 0.1513 0.9613 0.7500
Pr6 0.1735 0.6785 0.4340
Pr7 0.6735 0.8215 0.5660
Pr8 0.1735 0.6785 0.0660
# * DOS at the Fermi energy: 18.13 states/eV/cell
# * ρ: 8.95 g cm⁻³



Most stable: (B)



(A)
# PBE PrDyIrPt, optimized geometry
data_PrDyIrPt
_space_group_name_H-M_alt 'P 1'
_space_group_IT_number 1
_space_group_name_Hall 'P 1'
_cell_length_a 3.9286
_cell_length_b 4.3368
_cell_length_c 5.7832
_cell_angle_alpha 90.00
_cell_angle_beta 109.86
_cell_angle_gamma 90.00
loop_
_atom_site_label
_atom_site_fract_x
_atom_site_fract_y
_atom_site_fract_z
Ir1 0.4116 0.0000 0.8232
Dy1 0.8612 0.5000 0.7223
Pt1 0.5819 0.5000 0.1637
Pr1 0.1453 0.0000 0.2907
# * DOS at the Fermi energy: 2.29 states/eV/cell
# * ρ: 12.38 g cm⁻³



(B)
# PBE PrDyIrPt, optimized geometry
data_PrDyIrPt
_space_group_name_H-M_alt 'P 1'
_space_group_IT_number 1
_space_group_name_Hall 'P 1'
_cell_length_a 4.9989
_cell_length_b 4.9989
_cell_length_c 4.9989
_cell_angle_alpha 60.00
_cell_angle_beta 60.00
_cell_angle_gamma 60.00
loop_
_atom_site_label
_atom_site_fract_x
_atom_site_fract_y
_atom_site_fract_z
Ir1 0.2500 0.2500 0.2500
Dy1 0.0000 0.0000 0.0000
Pt1 0.7500 0.7500 0.7500
Pr1 0.5000 0.5000 0.5000
# * DOS at the Fermi energy: 2.18 states/eV/cell
# * ρ: 12.99 g cm⁻³



Most stable: (A)



(A)
# PBE Dy2PuIr, optimized geometry
data_Dy2PuIr
_space_group_name_H-M_alt 'P 1'
_space_group_IT_number 1
_space_group_name_Hall 'P 1'
_cell_length_a 3.7371
_cell_length_b 3.7371
_cell_length_c 10.5416
_cell_angle_alpha 79.79
_cell_angle_beta 79.79
_cell_angle_gamma 60.00
loop_
_atom_site_label
_atom_site_fract_x
_atom_site_fract_y
_atom_site_fract_z
Pu1 0.0000 0.0000 0.0000
Dy1 0.1125 0.1125 0.6624
Dy2 0.8875 0.8875 0.3376
Ir1 0.5000 0.5000 0.5000
# * DOS at the Fermi energy: 11.54 states/eV/cell
# * ρ: 10.13 g cm⁻³



(B)
# PBE Dy2PuIr, optimized geometry
data_Dy2PuIr
_space_group_name_H-M_alt 'P 1'
_space_group_IT_number 1
_space_group_name_Hall 'P 1'
_cell_length_a 3.4371
_cell_length_b 3.4371
_cell_length_c 8.6441
_cell_angle_alpha 90.00
_cell_angle_beta 90.00
_cell_angle_gamma 90.00
loop_
_atom_site_label
_atom_site_fract_x
_atom_site_fract_y
_atom_site_fract_z
Pu1 0.5000 0.5000 0.5000
Dy1 0.0000 0.0000 0.1924
Dy2 0.0000 0.0000 0.8076
Ir1 0.5000 0.5000 0.0000
# * DOS at the Fermi energy: 8.00 states/eV/cell
# * ρ: 12.38 g cm⁻³



Most stable: (B)



(A)
# PBE DyPuIr, optimized geometry
data_DyPuIr
_space_group_name_H-M_alt 'P 1'
_space_group_IT_number 1
_space_group_name_Hall 'P 1'
_cell_length_a 3.9339
_cell_length_b 5.7443
_cell_length_c 7.1859
_cell_angle_alpha 91.46
_cell_angle_beta 74.45
_cell_angle_gamma 69.93
loop_
_atom_site_label
_atom_site_fract_x
_atom_site_fract_y
_atom_site_fract_z
Pu1 0.6554 0.3009 0.2232
Ir1 0.0838 0.1933 0.4763
Dy1 0.3507 0.3596 0.7782
Ir2 0.0422 0.9351 0.8198
Dy2 0.7754 0.7688 0.5179
Pu2 0.4707 0.8274 0.0729
# * DOS at the Fermi energy: 15.11 states/eV/cell
# * ρ: 13.65 g cm⁻³



(B)
# PBE DyPuIr, optimized geometry
data_DyPuIr
_space_group_name_H-M_alt 'P 1'
_space_group_IT_number 1
_space_group_name_Hall 'P 1'
_cell_length_a 4.7548
_cell_length_b 4.7548
_cell_length_c 6.8839
_cell_angle_alpha 77.82
_cell_angle_beta 77.82
_cell_angle_gamma 88.23
loop_
_atom_site_label
_atom_site_fract_x
_atom_site_fract_y
_atom_site_fract_z
Dy1 0.2605 0.7395 0.0000
Ir1 0.8498 0.8498 0.7499
Dy2 0.7395 0.2605 0.0000
Pu1 0.2780 0.2780 0.5898
Pu2 0.7220 0.7220 0.4102
Ir2 0.1502 0.1502 0.2501
# * DOS at the Fermi energy: 14.45 states/eV/cell
# * ρ: 13.37 g cm⁻³



(C)
# PBE DyPuIr, optimized geometry
data_DyPuIr
_space_group_name_H-M_alt 'P 1'
_space_group_IT_number 1
_space_group_name_Hall 'P 1'
_cell_length_a 4.7930
_cell_length_b 4.7930
_cell_length_c 4.7930
_cell_angle_alpha 60.00
_cell_angle_beta 60.00
_cell_angle_gamma 60.00
loop_
_atom_site_label
_atom_site_fract_x
_atom_site_fract_y
_atom_site_fract_z
Ir1 0.2500 0.2500 0.2500
Pu1 0.0000 0.0000 0.0000
Dy1 0.5000 0.5000 0.5000
# * DOS at the Fermi energy: 9.77 states/eV/cell
# * ρ: 12.77 g cm⁻³



Most stable: (A)



(A)
# PBE DyPuIr, optimized geometry
data_DyPuIr
_space_group_name_H-M_alt 'P 1'
_space_group_IT_number 1
_space_group_name_Hall 'P 1'
_cell_length_a 3.4809
_cell_length_b 3.4809
_cell_length_c 6.4652
_cell_angle_alpha 105.62
_cell_angle_beta 105.62
_cell_angle_gamma 90.00
loop_
_atom_site_label
_atom_site_fract_x
_atom_site_fract_y
_atom_site_fract_z
Dy1 0.6475 0.6475 0.2950
Ir1 0.2836 0.2836 0.5672
Pu1 0.9189 0.9189 0.8379
# * DOS at the Fermi energy: 8.87 states/eV/cell
# * ρ: 13.72 g cm⁻³



(B)
# PBE DyPuIr, optimized geometry
data_DyPuIr
_space_group_name_H-M_alt 'P 1'
_space_group_IT_number 1
_space_group_name_Hall 'P 1'
_cell_length_a 3.2656
_cell_length_b 4.8039
_cell_length_c 4.8039
_cell_angle_alpha 120.00
_cell_angle_beta 90.00
_cell_angle_gamma 90.00
loop_
_atom_site_label
_atom_site_fract_x
_atom_site_fract_y
_atom_site_fract_z
Dy1 0.0145 0.0000 0.0000
Pu1 0.6186 0.3333 0.6667
Ir1 0.3669 0.6667 0.3333
# * DOS at the Fermi energy: 7.22 states/eV/cell
# * ρ: 15.23 g cm⁻³



Most stable: (A)